Density functional theory data (PBE with a Hubbard U) for W2AuBrF after structural relaxation.

```
W2AuBrF
1.0
-4.010 4.003 0.067
-0.593 -0.508 -5.096
-3.950 -3.971 0.856
Au Br W F
1 1 2 1
direct
0.000 0.500 0.000
0.000 0.000 0.000
0.000 0.000 0.500
0.500 0.000 0.000
0.500 0.500 0.500
```

Crystal system: tetragonal
Magnetic moment, μB per cell: 9.8
Raw total energy, eV per cell: -14.2
SG: P4/mmm, No. 123